(1)
# PBE Ac8Tb3Pm2, optimized geometry
# magnetization	0.000	μB/atom
# E	-55.57	eV/cell
# D(E_F)	1.76	states/eV/atom
# ΔE_f	0.05	eV per atom
data_Ac8Tb3Pm2
_symmetry_space_group_name_H-M 'P -1'
_symmetry_Int_Tables_number 2
_symmetry_space_group_name_Hall '-P 1'
_cell_length_a 6.660
_cell_length_b 6.685
_cell_length_c 12.115
_cell_angle_alpha 90.12
_cell_angle_beta 100.70
_cell_angle_gamma 99.73
loop_
_atom_site_label
_atom_site_fract_x
_atom_site_fract_y
_atom_site_fract_z
Ac1 0.043 0.416 0.149
Ac2 0.197 0.117 0.777
Ac3 0.341 0.807 0.383
Ac4 0.419 0.655 0.694
Tb1 0.275 0.962 0.073
Tb2 0.500 0.500 0.000
Pm1 0.113 0.267 0.463

(2)
# PBE Ac2Tb3Pm7, optimized geometry
# magnetization	0.000	μB/atom
# E	-107.06	eV/cell
# excess energy over the best structure of this formula in the dataset	64	meV per atom
# D(E_F)	1.75	states/eV/atom
# ΔE_f	0.15	eV per atom
data_Ac2Tb3Pm7
_symmetry_space_group_name_H-M 'C m m m'
_symmetry_Int_Tables_number 65
_symmetry_space_group_name_Hall '-C 2 2'
_cell_length_a 6.017
_cell_length_b 38.950
_cell_length_c 3.699
_cell_angle_alpha 90.00
_cell_angle_beta 90.00
_cell_angle_gamma 90.00
loop_
_atom_site_label
_atom_site_fract_x
_atom_site_fract_y
_atom_site_fract_z
Ac1 0.000 0.176 0.000
Tb1 0.000 0.353 0.500
Tb2 0.000 0.500 0.500
Pm1 0.000 0.000 0.000
Pm2 0.000 0.088 0.500
Pm3 0.000 0.272 0.000
Pm4 0.000 0.429 0.000

(3)
# PBE AcTbPm, optimized geometry
# magnetization	0.000	μB/atom
# E	-26.64	eV/cell
# excess energy over the best structure of this formula in the dataset	11	meV per atom
# D(E_F)	1.64	states/eV/atom
# ΔE_f	0.06	eV per atom
data_AcTbPm
_symmetry_space_group_name_H-M 'P 1 m 1'
_symmetry_Int_Tables_number 6
_symmetry_space_group_name_Hall 'P -2y'
_cell_length_a 3.801
_cell_length_b 6.027
_cell_length_c 9.921
_cell_angle_alpha 90.00
_cell_angle_beta 101.04
_cell_angle_gamma 90.00
loop_
_atom_site_label
_atom_site_fract_x
_atom_site_fract_y
_atom_site_fract_z
Ac1 0.000 0.000 0.000
Ac2 0.438 0.500 0.875
Tb1 0.115 0.500 0.226
Tb2 0.326 0.000 0.649
Pm1 0.667 0.000 0.334
Pm2 0.773 0.500 0.542